No. 1
Compound: K2AgHg7
Source: Alexandria
Functional: PBE
Structure: optimized geometry

* energy of formation: -0.655 eV/f.u.

Cell and atoms, written as CIF:
```
data_K2AgHg7
_cell_length_a 11.281
_cell_length_b 11.281
_cell_length_c 11.281
_cell_angle_alpha 90.00
_cell_angle_beta 90.00
_cell_angle_gamma 90.00
_space_group_name_H-M_alt 'F m -3 m'
_space_group_IT_number 225
_space_group_name_Hall '-F 4 2 3'
loop_
_atom_site_label
_atom_site_fract_x
_atom_site_fract_y
_atom_site_fract_z
K1 0.250 0.250 0.250
Ag1 0.000 0.000 0.000
Hg1 0.000 0.000 0.245
Hg2 0.000 0.000 0.500
```

***

No. 2
Compound: KAgHg
Source: Alexandria
Functional: PBE
Structure: optimized geometry

* energy of formation: -0.324 eV/f.u.
* energy above the most stable polymorph in this dataset: 0.7 kJ/mol of formula units

Cell and atoms, written as CIF:
```
data_KAgHg
_cell_length_a 4.797
_cell_length_b 6.565
_cell_length_c 6.825
_cell_angle_alpha 106.80
_cell_angle_beta 110.50
_cell_angle_gamma 90.30
_space_group_name_H-M_alt 'P -1'
_space_group_IT_number 2
loop_
_space_group_symop_operation_xyz
'x,y,z'
'-x,-y,-z'
loop_
_atom_site_label
_atom_site_fract_x
_atom_site_fract_y
_atom_site_fract_z
K1 0.107 0.297 0.217
Ag1 0.221 0.880 0.441
Hg1 0.401 0.299 0.801
```